The following is a DFT calculation (PBE-GGA) of an optimized crystal structure of TbDyAg4.

Output
Its total magnetic moment is 0.000 Bohr magnetons per cell. For the formation energy, the calculation gives -171 meV per atom.

a = 5.7066 Å, b = 5.7066 Å, c = 5.7066 Å
α = 60.00°, β = 60.00°, γ = 60.00°
Sites, in units of the cell vectors:
Tb 0.0000 0.0000 0.0000
Dy 0.7500 0.7500 0.7500
Ag 0.3750 0.3750 0.3750
Ag 0.3750 0.3750 0.8749
Ag 0.3750 0.8749 0.3750
Ag 0.8749 0.3750 0.3750